# 1
A plane-wave DFT calculation with GGA-PBE was carried out for a relaxed structure of Li3Ag4Bi4.

Cell lengths 15.100, 15.100, 15.100 Å; angles 167.19, 159.47, 24.27 degrees
Element x y z (fractional)
Li: 0.000 0.000 0.000
Li: 0.367 0.867 0.500
Li: 0.633 0.133 0.500
Ag: 0.183 0.683 0.500
Ag: 0.453 0.453 0.000
Ag: 0.547 0.547 0.000
Ag: 0.817 0.317 0.500
Bi: 0.088 0.588 0.500
Bi: 0.271 0.271 0.000
Bi: 0.729 0.729 0.000
Bi: 0.912 0.412 0.500

Properties
ρ, Mg/m³: 7.99
Total magnetization, μB per formula unit: 0.000
Formation enthalpy at 0 K, meV/atom: -38

=====

# 2
A plane-wave DFT calculation with GGA-PBE was carried out for a relaxed structure of ThMg5Ga3.

Cell lengths 7.836, 7.836, 15.241 Å; angles 90.00, 90.00, 154.96 degrees
Element x y z (fractional)
Th: 0.167 0.833 0.750
Th: 0.833 0.167 0.250
Mg: 0.000 0.000 0.000
Mg: 0.000 0.000 0.500
Mg: 0.192 0.808 0.070
Mg: 0.192 0.808 0.430
Mg: 0.465 0.535 0.657
Mg: 0.465 0.535 0.843
Mg: 0.535 0.465 0.157
Mg: 0.535 0.465 0.343
Mg: 0.808 0.192 0.570
Mg: 0.808 0.192 0.930
Ga: 0.156 0.844 0.250
Ga: 0.371 0.629 0.074
Ga: 0.371 0.629 0.426
Ga: 0.629 0.371 0.574
Ga: 0.629 0.371 0.926
Ga: 0.844 0.156 0.750

Properties
ρ, Mg/m³: 4.72
Total magnetization, μB per formula unit: 0.000
Formation enthalpy at 0 K, meV/atom: -135

=====

# 3
A plane-wave DFT calculation with GGA-PBE was carried out for a relaxed structure of LiLaRu2.

Cell lengths 10.087, 10.087, 10.087 Å; angles 16.74, 16.74, 16.74 degrees
Element x y z (fractional)
Li: 0.000 0.000 0.000
La: 0.228 0.228 0.228
Ru: 0.471 0.471 0.471
Ru: 0.739 0.739 0.739

Properties
ρ, Mg/m³: 7.78
Total magnetization, μB per formula unit: 0.595
Formation enthalpy at 0 K, meV/atom: 508
E above lowest polymorph, eV/atom: 0.494

=====

# 4
A plane-wave DFT calculation with GGA-PBE was carried out for a relaxed structure of K3U2Se3S4.

Cell lengths 13.912, 13.912, 13.912 Å; angles 158.55, 157.34, 31.40 degrees
Element x y z (fractional)
K: 0.000 0.000 0.000
K: 0.186 0.186 0.000
K: 0.814 0.814 0.000
U: 0.397 0.397 0.000
U: 0.603 0.603 0.000
Se: 0.098 0.598 0.500
Se: 0.500 0.500 0.000
Se: 0.902 0.402 0.500
S: 0.306 0.306 0.000
S: 0.399 0.899 0.500
S: 0.601 0.101 0.500
S: 0.694 0.694 0.000

Properties
ρ, Mg/m³: 4.20
Total DFT energy (no corrections), eV per formula unit: -67.53
Total magnetization, μB per formula unit: 1.014

=====

# 5
A plane-wave DFT calculation with GGA-PBE was carried out for a relaxed structure of InIrRh2.

Cell lengths 4.782, 4.782, 4.874 Å; angles 100.14, 100.14, 34.99 degrees
Element x y z (fractional)
In: 0.000 0.000 0.000
Ir: 0.500 0.500 0.500
Rh: 0.246 0.246 0.732
Rh: 0.754 0.754 0.268

Properties
ρ, Mg/m³: 13.56
Total magnetization, μB per formula unit: 0.000
Formation enthalpy at 0 K, meV/atom: -59

=====

# 6
A plane-wave DFT calculation with GGA-PBE was carried out for a relaxed structure of YTm4Rh4.

Cell lengths 8.747, 8.747, 5.554 Å; angles 90.00, 90.00, 90.00 degrees
Element x y z (fractional)
Y: 0.250 0.250 0.250
Y: 0.750 0.750 0.750
Tm: 0.073 0.660 0.158
Tm: 0.160 0.927 0.658
Tm: 0.340 0.573 0.658
Tm: 0.427 0.840 0.158
Tm: 0.573 0.160 0.842
Tm: 0.660 0.427 0.342
Tm: 0.840 0.073 0.342
Tm: 0.927 0.340 0.842
Rh: 0.031 0.623 0.657
Rh: 0.123 0.969 0.157
Rh: 0.377 0.531 0.157
Rh: 0.469 0.877 0.657
Rh: 0.531 0.123 0.343
Rh: 0.623 0.469 0.843
Rh: 0.877 0.031 0.843
Rh: 0.969 0.377 0.343

Properties
ρ, Mg/m³: 9.19
Total magnetization, μB per formula unit: 0.000
Formation enthalpy at 0 K, meV/atom: -690

=====

# 7
A plane-wave DFT calculation with GGA-PBE was carried out for a relaxed structure of Ho8GeP3S4.

Cell lengths 7.924, 7.924, 7.924 Å; angles 60.10, 60.10, 60.10 degrees
Element x y z (fractional)
Ho: 0.246 0.749 0.749
Ho: 0.247 0.247 0.247
Ho: 0.251 0.251 0.754
Ho: 0.251 0.754 0.251
Ho: 0.749 0.246 0.749
Ho: 0.749 0.749 0.246
Ho: 0.753 0.753 0.753
Ho: 0.754 0.251 0.251
Ge: 0.500 0.500 0.500
P: 0.000 0.000 0.500
P: 0.000 0.500 0.000
P: 0.500 0.000 0.000
S: 0.000 0.000 0.000
S: 0.000 0.500 0.500
S: 0.500 0.000 0.500
S: 0.500 0.500 0.000

Properties
ρ, Mg/m³: 7.60
Total DFT energy (no corrections), eV per formula unit: -102.24
Total magnetization, μB per formula unit: 0.000

=====

# 8
A plane-wave DFT calculation with GGA-PBE was carried out for a relaxed structure of Tl2InHg16.

Cell lengths 8.466, 8.466, 8.466 Å; angles 72.54, 72.54, 72.54 degrees
Element x y z (fractional)
Tl: 0.000 0.000 0.000
Tl: 0.305 0.305 0.305
In: 0.557 0.557 0.557
Hg: 0.042 0.042 0.395
Hg: 0.042 0.395 0.042
Hg: 0.081 0.718 0.718
Hg: 0.319 0.319 0.708
Hg: 0.319 0.708 0.319
Hg: 0.332 0.647 0.966
Hg: 0.332 0.966 0.647
Hg: 0.395 0.042 0.042
Hg: 0.647 0.332 0.966
Hg: 0.647 0.966 0.332
Hg: 0.708 0.319 0.319
Hg: 0.718 0.081 0.718
Hg: 0.718 0.718 0.081
Hg: 0.718 0.718 0.718
Hg: 0.966 0.332 0.647
Hg: 0.966 0.647 0.332

Properties
ρ, Mg/m³: 11.54
Total magnetization, μB per formula unit: 0.000
Formation enthalpy at 0 K, meV/atom: 5

=====

# 9
A plane-wave DFT calculation with GGA-PBE was carried out for a relaxed structure of Sc2Zn16Ge.

Cell lengths 6.730, 6.730, 6.730 Å; angles 83.77, 83.77, 83.77 degrees
Element x y z (fractional)
Sc: 0.000 0.000 0.000
Sc: 0.338 0.338 0.338
Zn: 0.014 0.014 0.501
Zn: 0.014 0.501 0.014
Zn: 0.160 0.673 0.673
Zn: 0.317 0.317 0.845
Zn: 0.317 0.845 0.317
Zn: 0.349 0.668 0.987
Zn: 0.349 0.987 0.668
Zn: 0.501 0.014 0.014
Zn: 0.668 0.349 0.987
Zn: 0.668 0.987 0.349
Zn: 0.673 0.160 0.673
Zn: 0.673 0.673 0.160
Zn: 0.763 0.763 0.763
Zn: 0.845 0.317 0.317
Zn: 0.987 0.349 0.668
Zn: 0.987 0.668 0.349
Ge: 0.564 0.564 0.564

Properties
ρ, Mg/m³: 6.70
Total magnetization, μB per formula unit: 0.000
Formation enthalpy at 0 K, meV/atom: -148

=====

# 10
A plane-wave DFT calculation with GGA-PBE was carried out for a relaxed structure of PtRh2Pb2.

Cell lengths 7.051, 7.051, 3.912 Å; angles 90.00, 90.00, 90.00 degrees
Element x y z (fractional)
Pt: 0.000 0.000 0.000
Pt: 0.500 0.500 0.000
Rh: 0.136 0.364 0.000
Rh: 0.364 0.864 0.000
Rh: 0.636 0.136 0.000
Rh: 0.864 0.636 0.000
Pb: 0.171 0.671 0.500
Pb: 0.329 0.171 0.500
Pb: 0.671 0.829 0.500
Pb: 0.829 0.329 0.500

Properties
ρ, Mg/m³: 13.92
Total magnetization, μB per formula unit: 0.000
Formation enthalpy at 0 K, meV/atom: 64

=====

# 11
A plane-wave DFT calculation with GGA-PBE was carried out for a relaxed structure of Fe4CuSn.

Cell lengths 4.852, 4.852, 4.852 Å; angles 60.00, 60.00, 60.00 degrees
Element x y z (fractional)
Fe: 0.124 0.124 0.124
Fe: 0.124 0.124 0.627
Fe: 0.124 0.627 0.124
Fe: 0.627 0.124 0.124
Cu: 0.750 0.750 0.750
Sn: 0.500 0.500 0.500

Properties
ρ, Mg/m³: 8.34
Total magnetization, μB per formula unit: 8.707
Formation enthalpy at 0 K, meV/atom: 193

=====

# 12
A plane-wave DFT calculation with GGA-PBE was carried out for a relaxed structure of LaPm6Dy2Ho.

Cell lengths 8.944, 8.944, 9.757 Å; angles 94.19, 94.19, 117.70 degrees
Element x y z (fractional)
La: 0.094 0.906 0.750
La: 0.906 0.094 0.250
Pm: 0.008 0.794 0.379
Pm: 0.069 0.521 0.182
Pm: 0.206 0.992 0.121
Pm: 0.259 0.613 0.555
Pm: 0.387 0.741 0.945
Pm: 0.479 0.931 0.318
Pm: 0.521 0.069 0.682
Pm: 0.613 0.259 0.055
Pm: 0.741 0.387 0.445
Pm: 0.794 0.008 0.879
Pm: 0.931 0.479 0.818
Pm: 0.992 0.206 0.621
Dy: 0.208 0.306 0.955
Dy: 0.306 0.208 0.455
Dy: 0.694 0.792 0.545
Dy: 0.792 0.694 0.045
Ho: 0.471 0.529 0.250
Ho: 0.529 0.471 0.750

Properties
ρ, Mg/m³: 7.28
Total magnetization, μB per formula unit: 0.000
Formation enthalpy at 0 K, meV/atom: 117

=====

# 13
A plane-wave DFT calculation with GGA-PBE was carried out for a relaxed structure of NaAlZnIn.

Cell lengths 4.918, 4.918, 4.918 Å; angles 60.00, 60.00, 60.00 degrees
Element x y z (fractional)
Na: 0.000 0.000 0.000
Al: 0.500 0.500 0.500
Zn: 0.750 0.750 0.750
In: 0.250 0.250 0.250

Properties
ρ, Mg/m³: 4.55
Total magnetization, μB per formula unit: 0.000
Formation enthalpy at 0 K, meV/atom: 89

=====

# 14
A plane-wave DFT calculation with GGA-PBE was carried out for a relaxed structure of Nd5HgAu2.

Cell lengths 8.012, 8.012, 12.407 Å; angles 90.00, 90.00, 138.44 degrees
Element x y z (fractional)
Nd: 0.023 0.977 0.625
Nd: 0.023 0.977 0.875
Nd: 0.230 0.770 0.250
Nd: 0.376 0.624 0.576
Nd: 0.376 0.624 0.924
Nd: 0.624 0.376 0.076
Nd: 0.624 0.376 0.424
Nd: 0.770 0.230 0.750
Nd: 0.977 0.023 0.125
Nd: 0.977 0.023 0.375
Hg: 0.207 0.793 0.750
Hg: 0.793 0.207 0.250
Au: 0.187 0.813 0.012
Au: 0.187 0.813 0.488
Au: 0.813 0.187 0.512
Au: 0.813 0.187 0.988

Properties
ρ, Mg/m³: 8.27
Total magnetization, μB per formula unit: 0.000
Formation enthalpy at 0 K, meV/atom: -231
E above lowest polymorph, eV/atom: 0.272

=====

# 15
A plane-wave DFT calculation with GGA-PBE was carried out for a relaxed structure of La3Pm3Cd.

Cell lengths 8.987, 8.987, 8.987 Å; angles 57.77, 57.77, 57.77 degrees
Element x y z (fractional)
La: 0.101 0.287 0.780
La: 0.220 0.899 0.713
La: 0.287 0.780 0.101
La: 0.713 0.220 0.899
La: 0.780 0.101 0.287
La: 0.899 0.713 0.220
Pm: 0.050 0.741 0.568
Pm: 0.259 0.432 0.950
Pm: 0.432 0.950 0.259
Pm: 0.568 0.050 0.741
Pm: 0.741 0.568 0.050
Pm: 0.950 0.259 0.432
Cd: 0.330 0.330 0.330
Cd: 0.670 0.670 0.670

Properties
ρ, Mg/m³: 6.57
Total magnetization, μB per formula unit: 0.000
Formation enthalpy at 0 K, meV/atom: 122
E above lowest polymorph, eV/atom: 0.172

=====

# 16
A plane-wave DFT calculation with GGA-PBE was carried out for a relaxed structure of BaMn2Rh.

Cell lengths 6.380, 6.380, 6.380 Å; angles 40.17, 40.17, 40.17 degrees
Element x y z (fractional)
Ba: 0.000 0.000 0.000
Mn: 0.194 0.194 0.194
Mn: 0.806 0.806 0.806
Rh: 0.500 0.500 0.500

Properties
ρ, Mg/m³: 5.97
Total magnetization, μB per formula unit: 7.432
Formation enthalpy at 0 K, meV/atom: 206

=====

# 17
A plane-wave DFT calculation with GGA-PBE was carried out for a relaxed structure of NdTh2In3Hg6.

Cell lengths 4.245, 4.245, 20.942 Å; angles 90.00, 90.00, 90.00 degrees
Element x y z (fractional)
Nd: 0.000 0.000 0.000
Th: 0.000 0.000 0.284
Th: 0.000 0.000 0.716
In: 0.500 0.500 0.221
In: 0.500 0.500 0.500
In: 0.500 0.500 0.779
Hg: 0.000 0.500 0.115
Hg: 0.000 0.500 0.885
Hg: 0.500 0.000 0.115
Hg: 0.500 0.000 0.885
Hg: 0.500 0.500 0.365
Hg: 0.500 0.500 0.635

Properties
ρ, Mg/m³: 9.49
Total magnetization, μB per formula unit: 0.000
Formation enthalpy at 0 K, meV/atom: 37

=====

# 18
A plane-wave DFT calculation with GGA-PBE was carried out for a relaxed structure of CaAcLa2Bi4.

Cell lengths 8.183, 4.761, 8.231 Å; angles 90.00, 109.59, 90.00 degrees
Element x y z (fractional)
Ca: 0.000 0.000 0.000
Ac: 0.500 0.500 0.000
La: 0.000 0.500 0.500
La: 0.500 0.000 0.500
Bi: 0.243 0.000 0.742
Bi: 0.247 0.500 0.254
Bi: 0.753 0.500 0.746
Bi: 0.757 0.000 0.258

Properties
ρ, Mg/m³: 7.59
Total magnetization, μB per formula unit: 0.000
Formation enthalpy at 0 K, meV/atom: -914

=====

# 19
A plane-wave DFT calculation with GGA-PBE was carried out for a relaxed structure of ErScMnRu.

Cell lengths 4.731, 4.731, 4.731 Å; angles 60.00, 60.00, 60.00 degrees
Element x y z (fractional)
Er: 0.000 0.000 0.000
Sc: 0.500 0.500 0.500
Mn: 0.750 0.750 0.750
Ru: 0.250 0.250 0.250

Properties
ρ, Mg/m³: 8.17
Total magnetization, μB per formula unit: 3.237
Formation enthalpy at 0 K, meV/atom: -164

=====

# 20
A plane-wave DFT calculation with GGA-PBE was carried out for a relaxed structure of Mg2TaFe.

Cell lengths 5.873, 5.873, 5.873 Å; angles 101.22, 101.22, 127.65 degrees
Element x y z (fractional)
Mg: 0.085 0.625 0.960
Mg: 0.375 0.335 0.460
Mg: 0.665 0.125 0.040
Mg: 0.875 0.915 0.540
Ta: 0.250 0.750 0.500
Ta: 0.500 0.500 0.000
Fe: 0.000 0.000 0.000
Fe: 0.750 0.250 0.500

Properties
ρ, Mg/m³: 6.58
Total magnetization, μB per formula unit: 1.803
Formation enthalpy at 0 K, meV/atom: 793
E above lowest polymorph, eV/atom: 0.703

=====

# 21
A plane-wave DFT calculation with GGA-PBE was carried out for a relaxed structure of HfAl2TeBr.

Cell lengths 5.499, 5.499, 5.368 Å; angles 90.00, 90.00, 90.00 degrees
Element x y z (fractional)
Hf: 0.000 0.000 0.000
Al: 0.000 0.500 0.500
Al: 0.500 0.000 0.500
Te: 0.000 0.000 0.500
Br: 0.500 0.500 0.000

Properties
ρ, Mg/m³: 4.50
Total DFT energy (no corrections), eV per formula unit: -17.63
Total magnetization, μB per formula unit: 0.000